--- a ---
Compound: Pu3Ti
Source: the Alexandria database
Functional: GGA-PBE
Structure: relaxed

DOS at the Fermi energy ... 9.514 states/eV/cell

Geometry as POSCAR:
```
Pu3Ti
1.0
-2.284 2.284 3.932
2.284 -2.284 3.932
2.284 2.284 -3.932
Pu Ti
3 1
Direct
0.000 0.000 0.000
0.250 0.750 0.500
0.750 0.250 0.500
0.500 0.500 0.000
```



--- b ---
Compound: Pu3Ti
Source: the Alexandria database
Functional: GGA-PBE
Structure: relaxed

DOS at the Fermi energy ... 16.634 states/eV/cell

Geometry as POSCAR:
```
Pu3Ti
1.0
3.083 0.000 0.000
0.000 5.059 0.000
0.000 0.000 5.593
Pu Ti
3 1
Direct
0.000 0.000 0.000
0.000 0.500 0.295
0.500 0.500 0.785
0.500 0.000 0.505
```



--- c ---
Compound: Pu3Ti
Source: the Alexandria database
Functional: GGA-PBE
Structure: relaxed

Geometry as POSCAR:
```
Pu3Ti
1.0
-1.220 4.795 2.889
1.220 -4.795 2.889
1.220 4.795 -2.889
Pu Ti
3 1
Direct
0.000 0.000 0.000
0.047 0.815 0.232
0.582 0.815 0.768
0.489 0.989 0.500
```



If you had to bet on the most stable structure above, which would it be? Bet on a.